<i>
Compound: RbAc2As
Source: Alexandria
Functional: PBE-GGA
Structure: optimized geometry

Lattice parameters (Å, degrees): 4.806 5.425 5.425 90.00 90.00 90.00
Atoms (fractional coordinates):
Ac (0.000, 0.000, 0.500)
Ac (0.000, 0.500, 0.000)
As (0.500, 0.500, 0.500)
Rb (0.500, 0.000, 0.000)

Values from the calculation:
symmetry = No. 123

---

<ii>
Compound: RbAc2As
Source: Alexandria
Functional: PBE-GGA
Structure: optimized geometry

Lattice parameters (Å, degrees): 4.345 4.345 12.630 80.10 80.10 60.00
Atoms (fractional coordinates):
Ac (0.118, 0.118, 0.646)
Ac (0.882, 0.882, 0.354)
As (0.500, 0.500, 0.500)
Rb (0.000, 0.000, 0.000)

Values from the calculation:
symmetry = No. 166

---

Preferred: <ii>; penalty for the next structure: 456 meV per atom.

---

<i>
Compound: AcReAs2
Source: Alexandria
Functional: PBE-GGA
Structure: optimized geometry

Lattice parameters (Å, degrees): 4.377 4.377 5.870 68.11 68.11 60.00
Atoms (fractional coordinates):
Re (0.500, 0.500, 0.500)
Ac (0.000, 0.000, 0.000)
As (0.788, 0.788, 0.636)
As (0.212, 0.212, 0.364)

Values from the calculation:
symmetry = No. 166

---

<ii>
Compound: AcReAs2
Source: Alexandria
Functional: PBE-GGA
Structure: optimized geometry

Lattice parameters (Å, degrees): 3.332 3.332 7.381 90.00 90.00 90.00
Atoms (fractional coordinates):
Re (0.500, 0.500, 0.000)
Ac (0.500, 0.500, 0.500)
As (0.000, 0.000, 0.807)
As (0.000, 0.000, 0.193)

Values from the calculation:
symmetry = No. 123

---

Preferred: <i>; penalty for the next structure: 463 meV per atom.

---

<i>
Compound: AcAs2Rh3
Source: Alexandria
Functional: PBE-GGA
Structure: optimized geometry

Lattice parameters (Å, degrees): 4.109 8.650 10.133 106.92 90.00 103.74
Atoms (fractional coordinates):
Ac (0.156, 0.313, 0.699)
Ac (0.844, 0.687, 0.301)
Ac (0.000, 0.000, 0.000)
As (0.197, 0.394, 0.128)
As (0.803, 0.606, 0.872)
As (0.466, 0.933, 0.227)
As (0.534, 0.067, 0.773)
As (0.362, 0.723, 0.550)
As (0.638, 0.277, 0.450)
Rh (0.048, 0.095, 0.334)
Rh (0.952, 0.905, 0.666)
Rh (0.221, 0.442, 0.395)
Rh (0.779, 0.558, 0.605)
Rh (0.630, 0.260, 0.208)
Rh (0.370, 0.740, 0.792)
Rh (0.500, 0.000, 0.500)
Rh (0.322, 0.643, 0.042)
Rh (0.678, 0.357, 0.958)

Values from the calculation:
symmetry = No. 12

---

<ii>
Compound: AcAs2Rh3
Source: Alexandria
Functional: PBE-GGA
Structure: optimized geometry

Lattice parameters (Å, degrees): 4.207 8.142 7.707 114.85 90.00 104.97
Atoms (fractional coordinates):
Ac (0.850, 0.699, 0.926)
Ac (0.150, 0.301, 0.074)
As (0.481, 0.962, 0.796)
As (0.519, 0.038, 0.204)
As (0.812, 0.624, 0.314)
As (0.188, 0.376, 0.686)
Rh (0.313, 0.626, 0.571)
Rh (0.953, 0.907, 0.625)
Rh (0.600, 0.199, 0.675)
Rh (0.400, 0.801, 0.325)
Rh (0.047, 0.093, 0.375)
Rh (0.687, 0.374, 0.429)

Values from the calculation:
symmetry = No. 12

---

Preferred: <i>; penalty for the next structure: 65 meV per atom.